# Na2HgS4

Na2HgS4 after structural relaxation (GGA-PBE, Alexandria).

Output
raw formation energy	0.09	eV per atom

```
data_Na2HgS4
_chemical_formula_sum 'Na4 Hg2 S8'
_symmetry_space_group_name_H-M 'I 4/m m m'
_symmetry_Int_Tables_number 139
_symmetry_space_group_name_Hall '-I 4 2'
_cell_length_a 5.1853
_cell_length_b 5.1853
_cell_length_c 13.8207
_cell_angle_alpha 90.00
_cell_angle_beta 90.00
_cell_angle_gamma 90.00
loop_
_atom_site_label
_atom_site_type_symbol
_atom_site_fract_x
_atom_site_fract_y
_atom_site_fract_z
Na1 Na 0.0000 0.0000 0.1201
Hg1 Hg 0.0000 0.0000 0.5000
S1 S 0.0000 0.0000 0.3263
S2 S 0.0000 0.5000 0.0000
```

=====

# MnCrSN2

MnCrSN2 after structural relaxation (GGA-PBE, Alexandria).

Output
raw formation energy	0.31	eV per atom
E above lowest polymorph	0.0	kJ/mol of atoms

```
data_MnCrSN2
_chemical_formula_sum 'Mn1 Cr1 S1 N2'
_symmetry_space_group_name_H-M 'P 4/m m m'
_symmetry_Int_Tables_number 123
_symmetry_space_group_name_Hall '-P 4 2'
_cell_length_a 3.6289
_cell_length_b 3.6289
_cell_length_c 5.0080
_cell_angle_alpha 90.00
_cell_angle_beta 90.00
_cell_angle_gamma 90.00
loop_
_atom_site_label
_atom_site_type_symbol
_atom_site_fract_x
_atom_site_fract_y
_atom_site_fract_z
Mn1 Mn 0.0000 0.0000 0.0000
Cr1 Cr 0.5000 0.5000 0.5000
S1 S 0.5000 0.5000 0.0000
N1 N 0.0000 0.5000 0.5000
```

=====

# PmPrCuBi

PmPrCuBi after structural relaxation (GGA-PBE, Alexandria).

Output
formation enthalpy at 0 K	-380	meV per atom

```
data_PmPrCuBi
_chemical_formula_sum 'Pm4 Pr4 Cu4 Bi4'
_symmetry_space_group_name_H-M 'F -4 3 m'
_symmetry_Int_Tables_number 216
_symmetry_space_group_name_Hall 'F -4 2 3'
_cell_length_a 7.5959
_cell_length_b 7.5959
_cell_length_c 7.5959
_cell_angle_alpha 90.00
_cell_angle_beta 90.00
_cell_angle_gamma 90.00
loop_
_atom_site_label
_atom_site_type_symbol
_atom_site_fract_x
_atom_site_fract_y
_atom_site_fract_z
Pm1 Pm 0.0000 0.0000 0.0000
Pr1 Pr 0.0000 0.0000 0.5000
Cu1 Cu 0.2500 0.2500 0.2500
Bi1 Bi 0.2500 0.2500 0.7500
```

=====

# Ba2Ge4Ir3

Ba2Ge4Ir3 after structural relaxation (GGA-PBE, Alexandria).

Output
formation enthalpy at 0 K	-428	meV per atom

```
data_Ba2Ge4Ir3
_chemical_formula_sum 'Ba8 Ge16 Ir12'
_symmetry_space_group_name_H-M 'F m m m'
_symmetry_Int_Tables_number 69
_symmetry_space_group_name_Hall '-F 2 2'
_cell_length_a 5.9291
_cell_length_b 10.3236
_cell_length_c 13.6908
_cell_angle_alpha 90.00
_cell_angle_beta 90.00
_cell_angle_gamma 90.00
loop_
_atom_site_label
_atom_site_type_symbol
_atom_site_fract_x
_atom_site_fract_y
_atom_site_fract_z
Ba1 Ba 0.0000 0.0000 0.1366
Ge1 Ge 0.0000 0.1693 0.3653
Ir1 Ir 0.0000 0.0000 0.5000
Ir2 Ir 0.2500 0.2500 0.0000
```

=====

# HfHg2F8

HfHg2F8 after structural relaxation (GGA-PBE, Alexandria).

Output
raw formation energy	-2.43	eV per atom
E above lowest polymorph	1.0	kJ/mol of atoms

```
data_HfHg2F8
_chemical_formula_sum 'Hf2 Hg4 F16'
_symmetry_space_group_name_H-M 'C 1 2/m 1'
_symmetry_Int_Tables_number 12
_symmetry_space_group_name_Hall '-C 2y'
_cell_length_a 15.9115
_cell_length_b 3.6810
_cell_length_c 5.1763
_cell_angle_alpha 90.00
_cell_angle_beta 105.01
_cell_angle_gamma 90.00
loop_
_atom_site_label
_atom_site_type_symbol
_atom_site_fract_x
_atom_site_fract_y
_atom_site_fract_z
Hf1 Hf 0.0000 0.0000 0.0000
Hg1 Hg 0.1723 0.5000 0.6687
F1 F 0.0161 0.5000 0.7967
F2 F 0.0909 0.0000 0.3656
F3 F 0.1199 0.0000 0.9033
F4 F 0.2357 0.5000 0.2734
```

=====

# Ba3Sr5Pd2

Ba3Sr5Pd2 after structural relaxation (GGA-PBE, Alexandria).

Output
formation enthalpy at 0 K	-260	meV per atom

```
data_Ba3Sr5Pd2
_chemical_formula_sum 'Ba12 Sr20 Pd8'
_symmetry_space_group_name_H-M 'I b a m'
_symmetry_Int_Tables_number 72
_symmetry_space_group_name_Hall '-I 2 2c'
_cell_length_a 12.1281
_cell_length_b 17.7952
_cell_length_c 9.0525
_cell_angle_alpha 90.00
_cell_angle_beta 90.00
_cell_angle_gamma 90.00
loop_
_atom_site_label
_atom_site_type_symbol
_atom_site_fract_x
_atom_site_fract_y
_atom_site_fract_z
Ba1 Ba 0.0000 0.0000 0.2500
Ba2 Ba 0.2467 0.3728 0.0000
Sr1 Sr 0.0000 0.2448 0.2500
Sr2 Sr 0.0000 0.5000 0.2500
Sr3 Sr 0.2459 0.3749 0.5000
Pd1 Pd 0.0047 0.1316 0.0000
```